1.
Crystalline Te3AuF at its relaxed geometry, computed with PBE.

It has space group Pm-3m (No. 221), with a = 5.3843 Å, b = 5.3843 Å, c = 5.3843 Å, α = 90.00°, β = 90.00° and γ = 90.00°. The inequivalent atoms are Te at (0.0000, 0.0000, 0.5000), Au at (0.0000, 0.0000, 0.0000) and F at (0.5000, 0.5000, 0.5000).

For the uncorrected formation energy, the calculation gives 0.371 eV/atom.


2.
Crystalline Mg2CuMo at its relaxed geometry, computed with PBE.

It has space group P4/mmm (No. 123), with a = 2.8367 Å, b = 2.8367 Å, c = 8.0442 Å, α = 90.00°, β = 90.00° and γ = 90.00°. The inequivalent atoms are Mg at (0.0000, 0.0000, 0.2331), Cu at (0.5000, 0.5000, 0.0000) and Mo at (0.5000, 0.5000, 0.5000).

The calculated formation energy is 0.628 eV per formula unit.


3.
Crystalline CrNiCl2 at its relaxed geometry, computed with PBE.

It has space group Fm-3m (No. 225), with a = 6.3442 Å, b = 6.3442 Å, c = 6.3442 Å, α = 90.00°, β = 90.00° and γ = 90.00°. The inequivalent atoms are Cr at (0.0000, 0.0000, 0.0000), Ni at (0.0000, 0.0000, 0.5000) and Cl at (0.2500, 0.2500, 0.2500).

For the uncorrected formation energy, the calculation gives 0.206 eV/atom.


4.
Crystalline Co2AgPt at its relaxed geometry, computed with PBE.

It has space group Pmmm (No. 47), with a = 2.7095 Å, b = 3.7844 Å, c = 5.5043 Å, α = 90.00°, β = 90.00° and γ = 90.00°. The inequivalent atoms are Co at (0.0000, 0.0000, 0.2244), Ag at (0.5000, 0.5000, 0.5000) and Pt at (0.5000, 0.5000, 0.0000).

The calculated formation energy is 0.733 eV per formula unit.


5.
Crystalline Hf3BeRu at its relaxed geometry, computed with PBE.

It has space group Pm-3m (No. 221), with a = 4.5652 Å, b = 4.5652 Å, c = 4.5652 Å, α = 90.00°, β = 90.00° and γ = 90.00°. The inequivalent atoms are Hf at (0.0000, 0.0000, 0.5000), Be at (0.0000, 0.0000, 0.0000) and Ru at (0.5000, 0.5000, 0.5000).

The calculated formation energy is 2.368 eV per formula unit.


6.
Crystalline AlFeSi2 at its relaxed geometry, computed with PBE.

It has space group P4mm (No. 99), with a = 3.1849 Å, b = 3.1849 Å, c = 5.0058 Å, α = 90.00°, β = 90.00° and γ = 90.00°. The inequivalent atoms are Al at (0.0000, 0.0000, 0.0000), Fe at (0.5000, 0.5000, 0.2612), Si at (0.0000, 0.0000, 0.4921) and Si at (0.5000, 0.5000, 0.7404).

For the uncorrected formation energy, the calculation gives -0.026 eV/atom.


7.
Crystalline Ag2IBrCl at its relaxed geometry, computed with PBE.

It has space group C2/m (No. 12), with a = 14.2533 Å, b = 4.2005 Å, c = 9.8981 Å, α = 90.00°, β = 107.86° and γ = 90.00°. The inequivalent atoms are Ag at (0.1457, 0.0000, 0.3222), Ag at (0.1559, 0.5000, 0.8388), I at (0.1907, 0.0000, 0.6318), Br at (0.1468, 0.0000, 0.0361) and Cl at (0.0256, 0.5000, 0.2875).

For the uncorrected formation energy, the calculation gives -0.251 eV/atom.


8.
Crystalline CeY4Te5 at its relaxed geometry, computed with PBE.

It has space group C2/m (No. 12), with a = 14.6627 Å, b = 4.3693 Å, c = 10.7616 Å, α = 90.00°, β = 119.72° and γ = 90.00°. The inequivalent atoms are Ce at (0.0000, 0.0000, 0.0000), Y at (0.0975, 0.5000, 0.3947), Y at (0.2022, 0.0000, 0.8001), Te at (0.0000, 0.0000, 0.5000), Te at (0.1042, 0.5000, 0.8973) and Te at (0.2040, 0.0000, 0.3074).

For the uncorrected formation energy, the calculation gives -1.327 eV/atom.


9.
Crystalline GaP2PdCl at its relaxed geometry, computed with PBE.

It has space group P4/mmm (No. 123), with a = 4.4519 Å, b = 4.4519 Å, c = 7.6789 Å, α = 90.00°, β = 90.00° and γ = 90.00°. The inequivalent atoms are Ga at (0.0000, 0.0000, 0.0000), P at (0.0000, 0.5000, 0.5000), Pd at (0.5000, 0.5000, 0.5000) and Cl at (0.5000, 0.5000, 0.0000).

For the uncorrected formation energy, the calculation gives 0.349 eV/atom.


10.
Crystalline LuInAgPd at its relaxed geometry, computed with PBE.

It has space group F-43m (No. 216), with a = 6.8156 Å, b = 6.8156 Å, c = 6.8156 Å, α = 90.00°, β = 90.00° and γ = 90.00°. The inequivalent atoms are Lu at (0.0000, 0.0000, 0.0000), In at (0.0000, 0.0000, 0.5000), Ag at (0.2500, 0.2500, 0.2500) and Pd at (0.2500, 0.2500, 0.7500).

The calculated formation energy is -2.278 eV per formula unit.


11.
Crystalline AgGe3Pt at its relaxed geometry, computed with PBE.

It has space group Pm-3m (No. 221), with a = 4.9014 Å, b = 4.9014 Å, c = 4.9014 Å, α = 90.00°, β = 90.00° and γ = 90.00°. The inequivalent atoms are Ag at (0.0000, 0.0000, 0.0000), Ge at (0.0000, 0.5000, 0.5000) and Pt at (0.5000, 0.5000, 0.5000).

The calculated formation energy is 2.069 eV per formula unit.


12.
Crystalline Mo2PbBr at its relaxed geometry, computed with PBE.

It has space group P4/mmm (No. 123), with a = 3.3032 Å, b = 3.3032 Å, c = 6.7271 Å, α = 90.00°, β = 90.00° and γ = 90.00°. The inequivalent atoms are Mo at (0.0000, 0.0000, 0.2270), Pb at (0.5000, 0.5000, 0.5000) and Br at (0.5000, 0.5000, 0.0000).

For the uncorrected formation energy, the calculation gives 0.993 eV/atom.


In eV per atom, the uncorrected energy values for the records above are, in order, -2.544, -4.372, -4.569, -5.593, -8.099, -5.789, -2.405, -6.077, -3.828, -4.395, -4.135, -5.768.